1.
14
Lattice="-2.347 5.211 5.834 2.347 -5.211 5.834 2.347 5.211 -5.834" Properties=species:S:1:pos:R:3 comment="Li11Mg3, optimized geometry, DFT PBE-GGA" final_energy_ev_per_atom=-1.828 formation_enthalpy_0k_ev_per_fu=0.241 dos_ef_per_ev_cell=5.47 pbc="T T T"
Li 0.000 0.000 0.000
Li 2.347 3.693 -2.876
Li 2.347 0.000 1.957
Li 2.347 -1.456 4.516
Li 0.000 1.518 2.958
Li 0.000 3.755 1.318
Li 2.347 1.456 4.516
Li 2.347 3.693 2.876
Li 0.000 6.667 1.318
Li 0.000 5.211 3.877
Li 0.000 1.518 8.710
Mg 2.347 2.139 0.000
Mg 0.000 0.000 5.834
Mg 0.000 3.072 5.834


2.
10
Lattice="3.443 0.000 0.000 0.000 3.443 0.000 0.000 0.000 16.980" Properties=species:S:1:pos:R:3 comment="Y5Ru4Pt, optimized geometry, DFT PBE-GGA" final_energy_ev_per_atom=-8.040 formation_enthalpy_0k_ev_per_fu=-4.939 dos_ef_per_ev_cell=7.99 pbc="T T T"
Y 0.000 0.000 0.000
Y 0.000 0.000 3.376
Y 0.000 0.000 6.735
Y 0.000 0.000 10.245
Y 0.000 0.000 13.604
Ru 1.722 1.722 1.691
Ru 1.722 1.722 5.111
Ru 1.722 1.722 11.869
Ru 1.722 1.722 15.288
Pt 1.722 1.722 8.490


What is the formula in the first record? Li11Mg3